In12Ge3H5: relaxed, PBE.

Lattice parameters (Å, degrees): 15.143 15.143 15.143 90.00 90.00 90.00
Space group Ia-3d (No. 230)
Asymmetric unit:
In 0.038 0.055 0.647 [96 per cell]
Ge 0.000 0.250 0.125 [24 per cell]
H 0.000 0.000 0.000 [16 per cell]
H 0.000 0.250 0.375 [24 per cell]

---

InGeH: relaxed, PBE.

Lattice parameters (Å, degrees): 5.152 6.847 6.332 90.00 90.00 90.00
Space group Cmcm (No. 63)
Asymmetric unit:
In 0.000 0.000 0.000 [4 per cell]
Ge 0.000 0.486 0.250 [4 per cell]
H 0.000 0.276 0.750 [4 per cell]

Values from the calculation:
excess energy over the best structure of this formula in the dataset	120	meV per atom

---

In2Ge2H: relaxed, PBE.

Lattice parameters (Å, degrees): 7.014 7.014 4.386 90.00 90.00 90.00
Space group P4/mbm (No. 127)
Asymmetric unit:
In 0.195 0.305 0.000 [4 per cell]
Ge 0.123 0.623 0.500 [4 per cell]
H 0.000 0.000 0.000 [2 per cell]

---

InGeH: relaxed, PBE.

Lattice parameters (Å, degrees): 6.975 4.771 7.723 90.00 90.00 90.00
Space group Pnma (No. 62)
Asymmetric unit:
In 0.169 0.250 0.023 [4 per cell]
Ge 0.248 0.750 0.864 [4 per cell]
H 0.060 0.250 0.474 [4 per cell]

Values from the calculation:
excess energy over the best structure of this formula in the dataset	79	meV per atom

---

InGe3H: relaxed, PBE.

Lattice parameters (Å, degrees): 5.352 5.352 5.352 90.00 90.00 90.00
Space group Pm-3m (No. 221)
Asymmetric unit:
In 0.000 0.000 0.000 [1 per cell]
Ge 0.000 0.000 0.500 [3 per cell]
H 0.500 0.500 0.500 [1 per cell]

Values from the calculation:
excess energy over the best structure of this formula in the dataset	922	meV per atom

---

InGeH: relaxed, PBE.

Lattice parameters (Å, degrees): 3.605 17.310 3.542 90.00 90.00 90.00
Space group Cmcm (No. 63)
Asymmetric unit:
In 0.000 0.192 0.250 [4 per cell]
Ge 0.000 0.057 0.750 [4 per cell]
H 0.000 0.436 0.250 [4 per cell]

Values from the calculation:
excess energy over the best structure of this formula in the dataset	116	meV per atom

---

Record-wise DFT total energy values, in eV/atom: -2.88; -3.30; -3.18; -3.34; -2.65; -3.30